[1]
{
  "formula": "HfZn2In",
  "functional": "PBE",
  "state": "optimized geometry",
  "lattice": [[4.201, 0.000, 0.000], [0.000, 4.201, 0.000], [0.000, 0.000, 4.105]],
  "species": ["Hf", "Zn", "Zn", "In"],
  "frac_coords": [[0.000, 0.000, 0.000], [0.000, 0.500, 0.500], [0.500, 0.000, 0.500], [0.500, 0.500, 0.000]],
  "magnetic_moment_mub_per_fu": 0.00,
  "volume_a3_per_atom": 18.11
}

=====

[2]
{
  "formula": "DyYFe2Ge2",
  "functional": "PBE",
  "state": "optimized geometry",
  "lattice": [[4.093, 0.000, 0.000], [0.000, 4.093, 0.000], [0.000, 0.000, 6.520]],
  "species": ["Dy", "Y", "Fe", "Fe", "Ge", "Ge"],
  "frac_coords": [[0.000, 0.000, 0.000], [0.500, 0.500, 0.379], [0.000, 0.500, 0.692], [0.500, 0.000, 0.692], [0.000, 0.000, 0.495], [0.500, 0.500, 0.888]],
  "magnetic_moment_mub_per_fu": 0.27,
  "volume_a3_per_atom": 18.21
}

=====

[3]
{
  "formula": "BeZnSO",
  "functional": "PBE",
  "state": "optimized geometry",
  "lattice": [[5.705, 0.000, 0.000], [0.000, 6.522, 0.000], [0.000, 0.000, 6.659]],
  "species": ["Be", "Be", "Be", "Be", "Zn", "Zn", "Zn", "Zn", "S", "S", "S", "S", "O", "O", "O", "O"],
  "frac_coords": [[0.190, 0.095, 0.498], [0.310, 0.905, 0.998], [0.690, 0.405, 0.502], [0.810, 0.595, 0.002], [0.133, 0.642, 0.568], [0.367, 0.358, 0.068], [0.633, 0.858, 0.432], [0.867, 0.142, 0.932], [0.156, 0.630, 0.927], [0.344, 0.370, 0.427], [0.656, 0.870, 0.073], [0.844, 0.130, 0.573], [0.199, 0.110, 0.993], [0.301, 0.890, 0.493], [0.699, 0.390, 0.007], [0.801, 0.610, 0.507]],
  "volume_a3_per_atom": 15.49
}

=====

[4]
{
  "formula": "Y3Al3GePd2",
  "functional": "PBE",
  "state": "optimized geometry",
  "lattice": [[7.601, 0.000, 0.000], [-3.801, 6.583, 0.000], [0.000, 0.000, 3.923]],
  "species": ["Y", "Y", "Y", "Al", "Al", "Al", "Ge", "Pd", "Pd"],
  "frac_coords": [[0.000, 0.723, 0.000], [0.277, 0.277, 0.000], [0.723, 0.000, 0.000], [0.000, 0.407, 0.500], [0.407, 0.000, 0.500], [0.593, 0.593, 0.500], [0.000, 0.000, 0.500], [0.333, 0.667, 0.000], [0.667, 0.333, 0.000]],
  "magnetic_moment_mub_per_fu": 0.01,
  "volume_a3_per_atom": 21.81
}

=====

[5]
{
  "formula": "Na4ZrSbO6",
  "functional": "PBE",
  "state": "optimized geometry",
  "lattice": [[2.825, -4.886, 0.000], [2.825, 4.886, 0.000], [-1.907, 0.000, 5.412]],
  "species": ["Na", "Na", "Na", "Na", "Zr", "Sb", "O", "O", "O", "O", "O", "O"],
  "frac_coords": [[0.000, 0.000, 0.000], [0.347, 0.653, 0.000], [0.685, 0.315, 0.000], [0.844, 0.156, 0.500], [0.176, 0.824, 0.500], [0.512, 0.488, 0.500], [0.134, 0.449, 0.281], [0.282, 0.228, 0.717], [0.404, 0.082, 0.283], [0.551, 0.866, 0.719], [0.772, 0.718, 0.283], [0.918, 0.596, 0.717]],
  "magnetic_moment_mub_per_fu": 0.17,
  "volume_a3_per_atom": 12.45
}

=====

[6]
{
  "formula": "TaRe2As",
  "functional": "PBE",
  "state": "optimized geometry",
  "lattice": [[0.000, 3.171, 3.171], [3.171, 0.000, 3.171], [3.171, 3.171, 0.000]],
  "species": ["Ta", "Re", "Re", "As"],
  "frac_coords": [[0.000, 0.000, 0.000], [0.250, 0.250, 0.250], [0.500, 0.500, 0.500], [0.750, 0.750, 0.750]],
  "magnetic_moment_mub_per_fu": 0.01,
  "volume_a3_per_atom": 15.95
}

=====

[7]
{
  "formula": "LiBeFePb",
  "functional": "PBE",
  "state": "optimized geometry",
  "lattice": [[0.000, 3.027, 3.027], [3.027, 0.000, 3.027], [3.027, 3.027, 0.000]],
  "species": ["Li", "Be", "Fe", "Pb"],
  "frac_coords": [[0.000, 0.000, 0.000], [0.250, 0.250, 0.250], [0.500, 0.500, 0.500], [0.750, 0.750, 0.750]],
  "magnetic_moment_mub_per_fu": 1.78,
  "volume_a3_per_atom": 13.86
}

=====

[8]
{
  "formula": "LaPuPb",
  "functional": "PBE",
  "state": "optimized geometry",
  "lattice": [[0.000, 3.824, 3.824], [3.824, 0.000, 3.824], [3.824, 3.824, 0.000]],
  "species": ["La", "Pu", "Pb"],
  "frac_coords": [[0.000, 0.000, 0.000], [0.500, 0.500, 0.500], [0.250, 0.250, 0.250]],
  "magnetic_moment_mub_per_fu": 6.96,
  "volume_a3_per_atom": 37.28
}

=====

[9]
{
  "formula": "Y2Zn3Mo4C3",
  "functional": "PBE",
  "state": "optimized geometry",
  "lattice": [[4.768, -2.756, 0.000], [4.768, 2.756, 0.000], [-3.449, 0.000, 13.656]],
  "species": ["Y", "Y", "Y", "Y", "Zn", "Zn", "Zn", "Zn", "Zn", "Zn", "Mo", "Mo", "Mo", "Mo", "Mo", "Mo", "Mo", "Mo", "C", "C", "C", "C", "C", "C"],
  "frac_coords": [[0.042, 0.882, 0.618], [0.118, 0.958, 0.882], [0.882, 0.042, 0.118], [0.958, 0.118, 0.382], [0.089, 0.408, 0.753], [0.408, 0.089, 0.253], [0.424, 0.576, 0.250], [0.576, 0.424, 0.750], [0.592, 0.911, 0.747], [0.911, 0.592, 0.247], [0.194, 0.348, 0.077], [0.292, 0.486, 0.423], [0.348, 0.194, 0.577], [0.486, 0.292, 0.923], [0.514, 0.708, 0.077], [0.652, 0.806, 0.423], [0.708, 0.514, 0.577], [0.806, 0.652, 0.923], [0.000, 0.500, 0.500], [0.174, 0.653, 0.000], [0.347, 0.826, 0.500], [0.500, 0.000, 0.000], [0.653, 0.174, 0.500], [0.826, 0.347, 0.000]],
  "magnetic_moment_mub_per_fu": 0.00,
  "volume_a3_per_atom": 14.95
}

=====

[10]
{
  "formula": "ErGeBi",
  "functional": "PBE",
  "state": "optimized geometry",
  "lattice": [[0.000, 3.602, 3.602], [3.602, 0.000, 3.602], [3.602, 3.602, 0.000]],
  "species": ["Er", "Ge", "Bi"],
  "frac_coords": [[0.000, 0.000, 0.000], [0.500, 0.500, 0.500], [0.250, 0.250, 0.250]],
  "magnetic_moment_mub_per_fu": 0.00,
  "volume_a3_per_atom": 31.15
}

=====

[11]
{
  "formula": "MoBr",
  "functional": "PBE",
  "state": "optimized geometry",
  "lattice": [[0.000, 2.816, 2.816], [2.816, 0.000, 2.816], [2.816, 2.816, 0.000]],
  "species": ["Mo", "Br"],
  "frac_coords": [[0.000, 0.000, 0.000], [0.500, 0.500, 0.500]],
  "magnetic_moment_mub_per_fu": 3.70,
  "volume_a3_per_atom": 22.34
}

=====

[12]
{
  "formula": "HfMgCu",
  "functional": "PBE",
  "state": "optimized geometry",
  "lattice": [[0.000, 3.164, 3.164], [3.164, 0.000, 3.164], [3.164, 3.164, 0.000]],
  "species": ["Hf", "Mg", "Cu"],
  "frac_coords": [[0.000, 0.000, 0.000], [0.250, 0.250, 0.250], [0.750, 0.750, 0.750]],
  "magnetic_moment_mub_per_fu": 0.01,
  "volume_a3_per_atom": 21.12
}

=====

[13]
{
  "formula": "CdPO3",
  "functional": "PBE",
  "state": "optimized geometry",
  "lattice": [[2.673, -4.620, 0.000], [2.673, 4.620, 0.000], [-1.736, 0.000, 5.225]],
  "species": ["Cd", "Cd", "P", "P", "O", "O", "O", "O", "O", "O"],
  "frac_coords": [[0.167, 0.833, 0.000], [0.833, 0.167, 0.000], [0.431, 0.431, 0.798], [0.569, 0.569, 0.202], [0.125, 0.410, 0.734], [0.305, 0.305, 0.268], [0.410, 0.125, 0.734], [0.590, 0.875, 0.266], [0.695, 0.695, 0.732], [0.875, 0.590, 0.266]],
  "volume_a3_per_atom": 12.91
}

=====

[14]
{
  "formula": "BeBSbOs",
  "functional": "PBE",
  "state": "optimized geometry",
  "lattice": [[0.000, 2.951, 2.951], [2.951, 0.000, 2.951], [2.951, 2.951, 0.000]],
  "species": ["Be", "B", "Sb", "Os"],
  "frac_coords": [[0.000, 0.000, 0.000], [0.500, 0.500, 0.500], [0.250, 0.250, 0.250], [0.750, 0.750, 0.750]],
  "magnetic_moment_mub_per_fu": 0.01,
  "volume_a3_per_atom": 12.85
}

=====

[15]
{
  "formula": "PrSm2Hg5",
  "functional": "PBE",
  "state": "optimized geometry",
  "lattice": [[-2.647, 2.647, 7.459], [2.647, -2.647, 7.459], [2.647, 2.647, -7.459]],
  "species": ["Pr", "Sm", "Sm", "Hg", "Hg", "Hg", "Hg", "Hg"],
  "frac_coords": [[0.000, 0.000, 0.000], [0.268, 0.268, 0.000], [0.732, 0.732, 0.000], [0.125, 0.625, 0.500], [0.375, 0.875, 0.500], [0.500, 0.500, 0.000], [0.625, 0.125, 0.500], [0.875, 0.375, 0.500]],
  "delta_e_f_ev_per_atom": -0.45,
  "magnetic_moment_mub_per_fu": 0.02,
  "volume_a3_per_atom": 26.12
}

=====

[16]
{
  "formula": "LaThCu",
  "functional": "PBE",
  "state": "optimized geometry",
  "lattice": [[0.000, 3.499, 3.499], [3.499, 0.000, 3.499], [3.499, 3.499, 0.000]],
  "species": ["La", "Th", "Cu"],
  "frac_coords": [[0.000, 0.000, 0.000], [0.500, 0.500, 0.500], [0.250, 0.250, 0.250]],
  "delta_e_f_ev_per_atom": 0.21,
  "magnetic_moment_mub_per_fu": 0.03,
  "volume_a3_per_atom": 28.56
}

=====

[17]
{
  "formula": "La2Ag2GePb",
  "functional": "PBE",
  "state": "optimized geometry",
  "lattice": [[4.792, 0.000, 0.000], [-2.396, 4.150, 0.000], [0.000, 0.000, 7.873]],
  "species": ["La", "La", "Ag", "Ag", "Ge", "Pb"],
  "frac_coords": [[0.000, 0.000, 0.000], [0.000, 0.000, 0.481], [0.333, 0.667, 0.691], [0.667, 0.333, 0.213], [0.333, 0.667, 0.279], [0.667, 0.333, 0.775]],
  "magnetic_moment_mub_per_fu": 0.00,
  "volume_a3_per_atom": 26.10
}

=====

[18]
{
  "formula": "Co2Os4PdSe12",
  "functional": "PBE",
  "state": "optimized geometry",
  "lattice": [[6.578, -1.709, 0.000], [6.578, 1.709, 0.000], [-5.865, 0.000, 18.210]],
  "species": ["Co", "Co", "Os", "Os", "Os", "Os", "Pd", "Se", "Se", "Se", "Se", "Se", "Se", "Se", "Se", "Se", "Se", "Se", "Se"],
  "frac_coords": [[0.238, 0.238, 0.287], [0.762, 0.762, 0.713], [0.254, 0.254, 0.594], [0.362, 0.362, 0.834], [0.638, 0.638, 0.166], [0.746, 0.746, 0.406], [0.000, 0.000, 0.000], [0.015, 0.015, 0.875], [0.146, 0.146, 0.455], [0.178, 0.178, 0.761], [0.185, 0.185, 0.082], [0.374, 0.374, 0.394], [0.402, 0.402, 0.712], [0.598, 0.598, 0.288], [0.626, 0.626, 0.606], [0.815, 0.815, 0.918], [0.822, 0.822, 0.239], [0.854, 0.854, 0.545], [0.985, 0.985, 0.125]],
  "magnetic_moment_mub_per_fu": 0.34,
  "volume_a3_per_atom": 21.55
}

=====

[19]
{
  "formula": "ErMgCuS3",
  "functional": "PBE",
  "state": "optimized geometry",
  "lattice": [[7.330, 0.000, 0.000], [0.000, 3.690, 0.000], [-1.580, 0.000, 8.608]],
  "species": ["Er", "Er", "Mg", "Mg", "Cu", "Cu", "S", "S", "S", "S", "S", "S"],
  "frac_coords": [[0.182, 0.250, 0.174], [0.818, 0.750, 0.826], [0.294, 0.750, 0.726], [0.706, 0.250, 0.274], [0.411, 0.750, 0.419], [0.589, 0.250, 0.581], [0.095, 0.250, 0.848], [0.243, 0.250, 0.489], [0.442, 0.750, 0.162], [0.558, 0.250, 0.838], [0.757, 0.750, 0.511], [0.905, 0.750, 0.152]],
  "magnetic_moment_mub_per_fu": 0.00,
  "volume_a3_per_atom": 19.40
}

=====

[20]
{
  "formula": "KGdZr",
  "functional": "PBE",
  "state": "optimized geometry",
  "lattice": [[0.000, 4.007, 4.007], [4.007, 0.000, 4.007], [4.007, 4.007, 0.000]],
  "species": ["K", "Gd", "Zr"],
  "frac_coords": [[0.000, 0.000, 0.000], [0.250, 0.250, 0.250], [0.500, 0.500, 0.500]],
  "magnetic_moment_mub_per_fu": 4.94,
  "volume_a3_per_atom": 42.90
}

=====

[21]
{
  "formula": "Al7Pd",
  "functional": "PBE",
  "state": "optimized geometry",
  "lattice": [[1.491, -5.186, 0.000], [1.491, 5.186, 0.000], [0.000, 0.000, 16.733]],
  "species": ["Al", "Al", "Al", "Al", "Al", "Al", "Al", "Al", "Al", "Al", "Al", "Al", "Al", "Al", "Pd", "Pd"],
  "frac_coords": [[0.024, 0.976, 0.613], [0.024, 0.976, 0.887], [0.238, 0.762, 0.140], [0.238, 0.762, 0.360], [0.364, 0.636, 0.510], [0.364, 0.636, 0.990], [0.428, 0.572, 0.750], [0.572, 0.428, 0.250], [0.636, 0.364, 0.010], [0.636, 0.364, 0.490], [0.762, 0.238, 0.640], [0.762, 0.238, 0.860], [0.976, 0.024, 0.113], [0.976, 0.024, 0.387], [0.153, 0.847, 0.750], [0.847, 0.153, 0.250]],
  "volume_a3_per_atom": 16.17
}

=====

[22]
{
  "formula": "CsFeB",
  "functional": "PBE",
  "state": "optimized geometry",
  "lattice": [[0.000, 3.028, 3.028], [3.028, 0.000, 3.028], [3.028, 3.028, 0.000]],
  "species": ["Cs", "Fe", "B"],
  "frac_coords": [[0.000, 0.000, 0.000], [0.750, 0.750, 0.750], [0.500, 0.500, 0.500]],
  "magnetic_moment_mub_per_fu": 0.17,
  "volume_a3_per_atom": 18.51
}

=====

[23]
{
  "formula": "AcCdB4",
  "functional": "PBE",
  "state": "optimized geometry",
  "lattice": [[3.272, 0.000, 0.000], [-1.636, 2.833, 0.000], [0.000, 0.000, 8.369]],
  "species": ["Ac", "Cd", "B", "B", "B", "B"],
  "frac_coords": [[0.000, 0.000, 0.000], [0.000, 0.000, 0.500], [0.333, 0.667, 0.271], [0.333, 0.667, 0.729], [0.667, 0.333, 0.271], [0.667, 0.333, 0.729]],
  "magnetic_moment_mub_per_fu": 0.01,
  "volume_a3_per_atom": 12.93
}

=====

[24]
{
  "formula": "MgCd2P2O8",
  "functional": "PBE",
  "state": "optimized geometry",
  "lattice": [[4.824, 0.000, 0.000], [1.922, 5.214, 0.000], [0.629, 1.706, 6.440]],
  "species": ["Mg", "Cd", "Cd", "P", "P", "O", "O", "O", "O", "O", "O", "O", "O"],
  "frac_coords": [[0.000, 0.000, 0.000], [0.290, 0.280, 0.318], [0.710, 0.720, 0.682], [0.370, 0.326, 0.789], [0.630, 0.674, 0.211], [0.208, 0.617, 0.674], [0.225, 0.236, 0.000], [0.309, 0.696, 0.173], [0.359, 0.133, 0.661], [0.641, 0.867, 0.339], [0.691, 0.304, 0.827], [0.775, 0.764, 0.000], [0.792, 0.383, 0.326]],
  "volume_a3_per_atom": 12.46
}

=====

no.,uncorrected energy (eV per atom)
1,-4.00
2,-6.69
3,-4.86
4,-5.48
5,-5.95
6,-9.97
7,-4.06
8,-7.66
9,-7.60
10,-4.36
11,-4.85
12,-4.23
13,-5.80
14,-5.41
15,-2.41
16,-5.14
17,-4.53
18,-5.71
19,-5.00
20,-3.25
21,-4.10
22,-3.08
23,-4.95
24,-6.20